1.
## Tc2AsSe (PBE)

Data for a relaxed Tc2AsSe crystal. Values from VASP.

```
&SYSTEM
  ibrav = 0, nat = 4, ntyp = 3
/
ATOMIC_SPECIES
Tc 98.00 Tc.upf
Se 78.96 Se.upf
As 74.92 As.upf
CELL_PARAMETERS angstrom
-2.990 2.621 -1.414
-2.087 0.703 -3.600
-4.411 -2.855 0.683
ATOMIC_POSITIONS angstrom
Tc -4.756 0.254 -2.188
Se -7.115 0.352 -3.248
Tc -5.064 3.305 -4.991
As -2.372 0.117 -1.083
```

As for the uncorrected formation energy: 0.121 eV per atom. The energy relative to the lowest polymorph listed for this composition comes out at 220 meV per atom.

2.
## CoAg2Te (PBE)

Data for a relaxed CoAg2Te crystal. Values from VASP.

```
&SYSTEM
  ibrav = 0, nat = 4, ntyp = 3
/
ATOMIC_SPECIES
Ag 107.87 Ag.upf
Co 58.93 Co.upf
Te 127.60 Te.upf
CELL_PARAMETERS angstrom
5.345 -0.073 0.000
-2.525 4.711 0.000
0.000 0.000 3.014
ATOMIC_POSITIONS angstrom
Ag 0.000 0.000 0.000
Co 2.672 -0.037 1.507
Te -1.262 2.356 1.507
Ag 1.410 2.319 0.000
```

As for the uncorrected formation energy: 0.482 eV per atom.

3.
## Ba6MgSi2 (PBE)

Data for a relaxed Ba6MgSi2 crystal. Values from VASP.

```
&SYSTEM
  ibrav = 0, nat = 18, ntyp = 3
/
ATOMIC_SPECIES
Mg 24.30 Mg.upf
Si 28.09 Si.upf
Ba 137.33 Ba.upf
CELL_PARAMETERS angstrom
10.191 0.000 5.573
4.766 8.255 3.389
1.125 -0.378 10.047
ATOMIC_POSITIONS angstrom
Mg 8.040 3.938 9.505
Si 4.656 0.805 3.590
Ba 11.953 2.511 9.794
Ba 5.686 2.511 6.367
Ba 4.742 1.181 10.464
Ba 10.395 5.365 12.643
Ba 6.087 4.216 13.076
Si 2.547 2.994 7.446
Si 11.425 7.072 15.419
Si 3.343 4.882 5.990
Ba 7.068 6.696 6.211
Ba 4.128 5.365 9.216
Ba 8.423 -0.063 8.805
Ba 9.994 3.661 5.933
Ba 7.658 7.940 10.205
Ba 11.339 6.696 8.546
Mg 0.000 0.000 0.000
Ba 9.013 1.181 12.799
```

As for the uncorrected formation energy: -0.178 eV per atom.

4.
## Ni5Ru (PBE)

Data for a relaxed Ni5Ru crystal. Values from VASP.

```
&SYSTEM
  ibrav = 0, nat = 12, ntyp = 2
/
ATOMIC_SPECIES
Ni 58.69 Ni.upf
Ru 101.07 Ru.upf
CELL_PARAMETERS angstrom
-2.793 2.217 0.107
-3.110 -3.954 0.724
0.851 0.708 7.522
ATOMIC_POSITIONS angstrom
Ni -3.261 -0.163 7.433
Ni -2.280 1.334 2.054
Ni -1.791 -0.866 0.921
Ni -1.507 -0.629 3.436
Ru -1.216 -0.385 5.938
Ni -1.972 1.600 4.563
Ni -2.772 -2.363 6.300
Ni -3.362 -2.864 1.298
Ni -3.546 -0.400 4.918
Ni -1.690 1.835 7.055
Ru -3.836 -0.644 2.416
Ni -3.080 -2.629 3.791
```

The formation energy comes out at 0.45 eV per formula unit. The energy relative to the lowest polymorph listed for this composition comes out at 0 meV per atom.

5.
## Bi3H2Pd5 (PBE)

Data for a relaxed Bi3H2Pd5 crystal. Values from VASP.

```
&SYSTEM
  ibrav = 0, nat = 20, ntyp = 3
/
ATOMIC_SPECIES
Bi 208.98 Bi.upf
Pd 106.42 Pd.upf
H 1.01 H.upf
CELL_PARAMETERS angstrom
6.408 0.000 0.000
3.204 7.546 0.467
3.204 2.453 7.152
ATOMIC_POSITIONS angstrom
Bi 1.602 0.000 0.000
Pd 3.204 5.087 1.256
Pd 9.612 4.912 6.363
Bi 3.204 2.717 4.152
Pd 11.214 7.584 5.779
Pd 1.602 2.415 1.840
Pd 4.806 2.415 1.840
Bi 4.806 0.000 0.000
Pd 8.010 7.584 5.779
H 3.204 1.513 1.795
Pd 8.010 5.000 3.809
Bi 6.408 5.276 6.101
Pd 6.408 7.438 3.048
H 6.408 7.867 6.636
Pd 4.806 5.000 3.809
H 6.408 2.133 0.983
Bi 9.612 7.282 3.467
Pd 6.408 2.561 4.571
Bi 6.408 4.724 1.518
H 9.612 8.486 5.824
```

Its electronic total energy is -0.3349 Ry per atom.

6.
## ScZnTc (PBE)

Data for a relaxed ScZnTc crystal. Values from VASP.

```
&SYSTEM
  ibrav = 0, nat = 3, ntyp = 3
/
ATOMIC_SPECIES
Tc 98.00 Tc.upf
Zn 65.41 Zn.upf
Sc 44.96 Sc.upf
CELL_PARAMETERS angstrom
-1.218 -3.417 3.410
0.585 -4.890 -0.735
2.509 4.279 -0.429
ATOMIC_POSITIONS angstrom
Tc -0.203 -2.658 0.856
Zn -0.433 -5.675 1.828
Sc -0.631 -8.281 2.667
```

The formation energy comes out at -0.42 eV per formula unit. The energy relative to the lowest polymorph listed for this composition comes out at 179 meV per atom.

no.,Fermi-level density of states (states/eV/f.u.)
1,4.477
2,4.232
3,9.604
4,10.482
5,3.318
6,2.005